Record 1
Ac5SnRh | GGA-PBE | relaxed

Calculated values
* calculated volume: 538.9 Å³ per cell
* energy of formation: -0.324 eV/atom
* density of states at the Fermi level: 14.93 states/eV/cell
* calculated total energy: -68.334 eV/cell

Cell and atoms, written as POSCAR:
```
Ac5SnRh
1.0
6.184 -3.767 0.000
6.184 3.767 0.000
-4.076 0.000 11.565
Ac Sn Rh
10 2 2
Cartesian
3.127 3.548 8.674
0.053 1.350 7.402
0.825 1.259 11.137
2.091 -1.350 1.619
5.429 1.259 6.211
2.863 -1.259 5.354
6.201 1.350 9.946
7.467 -1.259 0.429
8.239 -1.350 4.163
5.165 -3.548 2.891
5.165 0.182 2.891
3.127 -0.182 8.674
0.000 0.000 0.000
-2.038 0.000 5.783
```

---

Record 2
Sb2RuRh | GGA-PBE | relaxed

Calculated values
* calculated volume: 71.4 Å³ per cell
* density of states at the Fermi level: 3.42 states/eV/cell
* distance to the lowest polymorph of the same formula: 0.1607 eV per atom
* formation energy (no corrections): -1 meV/atom
* calculated total energy: -24.878 eV/cell

Cell and atoms, written as POSCAR:
```
Sb2RuRh
1.0
3.293 0.000 0.000
0.000 3.308 0.000
-0.022 0.000 6.556
Sb Ru Rh
2 1 1
Cartesian
-0.004 0.000 1.634
3.276 0.000 4.922
1.647 1.654 0.000
1.636 1.654 3.278
```

---

Please write out number 2 again, unchanged.
Sb2RuRh | GGA-PBE | relaxed

Calculated values
* calculated volume: 71.4 Å³ per cell
* density of states at the Fermi level: 3.42 states/eV/cell
* distance to the lowest polymorph of the same formula: 0.1607 eV per atom
* formation energy (no corrections): -1 meV/atom
* calculated total energy: -24.878 eV/cell

Cell and atoms, written as POSCAR:
```
Sb2RuRh
1.0
3.293 0.000 0.000
0.000 3.308 0.000
-0.022 0.000 6.556
Sb Ru Rh
2 1 1
Cartesian
-0.004 0.000 1.634
3.276 0.000 4.922
1.647 1.654 0.000
1.636 1.654 3.278
```